Density functional theory data (PBE) for a relaxed structure of Ho3TmPt2.

Results
**Total magnetization**: 0.00 μB/cell
**Space group**: No. 26
**DFT formation energy**: -975 meV per atom
**E_tot**: -6.02 eV/atom

Cell: 4.745 7.108 8.751 Å, 90.00 90.00 90.00°
Atoms (fractional coordinates):
Ho 0.000 0.491 0.917
Ho 0.000 0.991 0.083
Ho 0.500 0.644 0.170
Ho 0.500 0.144 0.830
Ho 0.000 0.356 0.332
Ho 0.000 0.856 0.668
Tm 0.500 0.509 0.584
Tm 0.500 0.009 0.416
Pt 0.500 0.740 0.843
Pt 0.500 0.240 0.157
Pt 0.000 0.260 0.655
Pt 0.000 0.760 0.345



Density functional theory data (PBE) for a relaxed structure of PuGa2Pt4.

Results
**Total magnetization**: 10.78 μB/cell
**Space group**: No. 136
**DFT formation energy**: -684 meV per atom
**Energy above the lowest structure with this stoichiometry**: 0.00 eV per formula unit
**E_tot**: -7.05 eV/atom

Cell: 4.016 7.846 7.846 Å, 90.00 90.00 90.00°
Last column: magnetic moment on the atom in μB.
Atoms (fractional coordinates):
Pt 0.000 0.082 0.333  -0.02
Pt 0.000 0.918 0.667  -0.02
Pt 0.500 0.167 0.582  -0.02
Pt 0.500 0.833 0.418  -0.02
Pt 0.500 0.418 0.833  -0.02
Pt 0.500 0.582 0.167  -0.02
Pt 0.000 0.333 0.082  -0.02
Pt 0.000 0.667 0.918  -0.02
Ga 0.000 0.222 0.778  0.01
Ga 0.000 0.778 0.222  0.01
Ga 0.500 0.722 0.722  0.01
Ga 0.500 0.278 0.278  0.01
Pu 0.500 0.000 0.000  5.23
Pu 0.000 0.500 0.500  5.23